Entry 1:
Here is crystalline FeSi2As at its relaxed geometry from Alexandria. Energies are from PBE-GGA.

## Properties
Total energy, eV/cell: -47.15
Polymorph energy (0 for the lowest one), meV/atom: 103
Density, Mg/m³: 4.96
Formation energy (no corrections), meV/atom: 96
DOS at the Fermi energy, states/eV/f.u.: 2.3

Cell: 4.382 10.176 2.806 Å, 90.00 90.00 90.00°
Space group Cmmm (No. 65)
Inequivalent atoms, fractional coordinates:
Fe 0.000 0.000 0.000 [2 per cell]
Si 0.000 0.189 0.500 [4 per cell]
As 0.000 0.500 0.000 [2 per cell]

Entry 2:
Here is crystalline FeSi2As at its relaxed geometry from Alexandria. Energies are from PBE-GGA.

## Properties
Total energy, eV/cell: -23.51
Polymorph energy (0 for the lowest one), meV/atom: 119
Density, Mg/m³: 5.31
Formation energy (no corrections), meV/atom: 112
DOS at the Fermi energy, states/eV/f.u.: 1.7

Cell: 2.870 2.889 7.057 Å, 90.00 92.99 90.00°
Space group Pm (No. 6)
Inequivalent atoms, fractional coordinates:
Fe 0.000 0.000 0.000 [1 per cell]
Si 0.063 0.000 0.403 [1 per cell]
Si 0.522 0.500 0.175 [1 per cell]
As 0.451 0.500 0.779 [1 per cell]

Entry 3:
Here is crystalline FeSi2As at its relaxed geometry from Alexandria. Energies are from PBE-GGA.

## Properties
Total energy, eV/cell: -69.33
Polymorph energy (0 for the lowest one), meV/atom: 219
Density, Mg/m³: 5.05
Formation energy (no corrections), meV/atom: 212
DOS at the Fermi energy, states/eV/f.u.: 2.7

Cell: 2.8007 2.8007 27.1540 Å, 90.00 90.00 120.00°
Space group R3m (No. 160, hexagonal axes)
Inequivalent atoms, fractional coordinates:
Fe 0.0000 0.0000 0.0000 [3 per cell]
Si 0.0000 0.0000 0.4791 [3 per cell]
Si 0.0000 0.0000 0.7301 [3 per cell]
As 0.0000 0.0000 0.2670 [3 per cell]

Entry 4:
Here is crystalline FeSiAs at its relaxed geometry from Alexandria. Energies are from PBE-GGA.

## Properties
Total energy, eV/cell: -37.87
Density, Mg/m³: 6.05
Formation energy (no corrections), meV/atom: -134
DOS at the Fermi energy, states/eV/f.u.: 1.3

Cell: 2.703 5.816 5.547 Å, 90.00 90.06 90.00°
Space group P2_1 (No. 4)
Inequivalent atoms, fractional coordinates:
Fe 0.245 0.000 0.251 [2 per cell]
Si 0.258 0.359 0.056 [2 per cell]
As 0.255 0.612 0.419 [2 per cell]